First-principles (PBE) data for an optimized crystal structure of Na4CdI6, as listed in Alexandria via LeMat-Bulk.

The value obtained for the uncorrected formation energy is -1046 meV/atom. Its total magnetic moment is 0.0 μB/f.u.

It has space group Cc (No. 9), with a = 15.059 Å, b = 8.786 Å, c = 15.357 Å, α = 90.00°, β = 111.14° and γ = 90.00°. The asymmetric unit holds Na at (0.000, 0.104, 0.000), Na at (0.136, 0.340, 0.368), Na at (0.328, 0.383, 0.707), Na at (0.376, 0.110, 0.043), Cd at (0.079, 0.211, 0.776), I at (0.114, 0.467, 0.681), I at (0.129, 0.065, 0.217), I at (0.168, 0.283, 0.967), I at (0.326, 0.236, 0.524), I at (0.381, 0.269, 0.235) and I at (0.457, 0.282, 0.907).